Record 1
DFT (GGA-PBEsol) results for a geometry-optimized MgOsPt structure.

* space group: No. 44
* E_tot: -20.5 eV per cell
* excess energy over the best structure of this formula in the dataset: 108 meV/atom
* formation enthalpy at 0 K: 0.12 eV/atom

```
data_MgOsPt
_chemical_formula_sum 'Mg1 Os1 Pt1'
_cell_length_a 2.693
_cell_length_b 4.029
_cell_length_c 4.790
_cell_angle_alpha 114.87
_cell_angle_beta 106.33
_cell_angle_gamma 90.00
_space_group_name_H-M_alt 'P 1'
_space_group_IT_number 1
loop_
_space_group_symop_operation_xyz
'x,y,z'
loop_
_atom_site_label
_atom_site_fract_x
_atom_site_fract_y
_atom_site_fract_z
Mg1 0.000 0.000 0.999
Os1 0.667 0.667 0.335
Pt1 0.333 0.333 0.666
```


Record 2
DFT (GGA-PBEsol) results for a geometry-optimized RbMg2OsPt structure.

* space group: No. 123
* E_tot: -11.5 eV per cell
* formation enthalpy at 0 K: 2.44 eV/atom

```
data_RbMg2OsPt
_chemical_formula_sum 'Rb1 Mg2 Os1 Pt1'
_cell_length_a 4.610
_cell_length_b 4.945
_cell_length_c 4.945
_cell_angle_alpha 90.00
_cell_angle_beta 90.00
_cell_angle_gamma 90.00
_space_group_name_H-M_alt 'P 1'
_space_group_IT_number 1
loop_
_space_group_symop_operation_xyz
'x,y,z'
loop_
_atom_site_label
_atom_site_fract_x
_atom_site_fract_y
_atom_site_fract_z
Pt1 0.500 0.500 0.500
Mg1 0.000 0.500 0.000
Mg2 0.000 0.000 0.500
Os1 0.500 0.000 0.000
Rb1 0.000 0.000 0.000
```


What did the first record say?
DFT (GGA-PBEsol) results for a geometry-optimized MgOsPt structure.

* space group: No. 44
* E_tot: -20.5 eV per cell
* excess energy over the best structure of this formula in the dataset: 108 meV/atom
* formation enthalpy at 0 K: 0.12 eV/atom

```
data_MgOsPt
_chemical_formula_sum 'Mg1 Os1 Pt1'
_cell_length_a 2.693
_cell_length_b 4.029
_cell_length_c 4.790
_cell_angle_alpha 114.87
_cell_angle_beta 106.33
_cell_angle_gamma 90.00
_space_group_name_H-M_alt 'P 1'
_space_group_IT_number 1
loop_
_space_group_symop_operation_xyz
'x,y,z'
loop_
_atom_site_label
_atom_site_fract_x
_atom_site_fract_y
_atom_site_fract_z
Mg1 0.000 0.000 0.999
Os1 0.667 0.667 0.335
Pt1 0.333 0.333 0.666
```